Cd2NiSb after structural relaxation. Source: the Alexandria database, functional PBEsol.

Structure (CIF):
```
data_Cd2NiSb
_cell_length_a 3.015
_cell_length_b 4.114
_cell_length_c 12.708
_cell_angle_alpha 90.00
_cell_angle_beta 90.00
_cell_angle_gamma 90.00
_space_group_name_H-M_alt 'I m m m'
_space_group_IT_number 71
_space_group_name_Hall '-I 2 2'
loop_
_atom_site_label
_atom_site_fract_x
_atom_site_fract_y
_atom_site_fract_z
Cd1 0.000 0.000 0.188
Ni1 0.000 0.500 0.500
Sb1 0.000 0.500 0.000
```

Results
Crystal system = orthorhombic
Raw formation energy = 0.02 eV/atom
M_tot = 0.000 μB per formula unit

=====

Cd2NiSb after structural relaxation. Source: the Alexandria database, functional PBEsol.

Structure (CIF):
```
data_Cd2NiSb
_cell_length_a 3.058
_cell_length_b 3.058
_cell_length_c 8.342
_cell_angle_alpha 90.00
_cell_angle_beta 90.00
_cell_angle_gamma 90.00
_space_group_name_H-M_alt 'P 4 m m'
_space_group_IT_number 99
loop_
_space_group_symop_operation_xyz
'x,y,z'
'-y,x,z'
'-x,-y,z'
'y,-x,z'
'-x,y,z'
'y,x,z'
'x,-y,z'
'-y,-x,z'
loop_
_atom_site_label
_atom_site_fract_x
_atom_site_fract_y
_atom_site_fract_z
Cd1 0.000 0.000 0.000
Cd2 0.500 0.500 0.270
Ni1 0.000 0.000 0.477
Sb1 0.500 0.500 0.658
```

Results
Crystal system = tetragonal
Raw formation energy = 0.02 eV/atom
M_tot = 0.001 μB per formula unit

=====

Cd2NiSb after structural relaxation. Source: the Alexandria database, functional PBEsol.

Structure (CIF):
```
data_Cd2NiSb
_cell_length_a 3.1565
_cell_length_b 3.1565
_cell_length_c 27.5093
_cell_angle_alpha 90.00
_cell_angle_beta 90.00
_cell_angle_gamma 120.00
_space_group_name_H-M_alt 'R -3 m'
_space_group_IT_number 166
_space_group_name_Hall '-R 3 2"'
loop_
_atom_site_label
_atom_site_fract_x
_atom_site_fract_y
_atom_site_fract_z
Cd1 0.0000 0.0000 0.2352
Ni1 0.0000 0.0000 0.5000
Sb1 0.0000 0.0000 0.0000
```

Results
Crystal system = trigonal
Raw formation energy = 0.22 eV/atom
M_tot = 0.000 μB per formula unit

=====

CdNiSbTe2 after structural relaxation. Source: the Alexandria database, functional PBEsol.

Structure (CIF):
```
data_CdNiSbTe2
_cell_length_a 5.168
_cell_length_b 5.168
_cell_length_c 4.738
_cell_angle_alpha 90.00
_cell_angle_beta 90.00
_cell_angle_gamma 90.00
_space_group_name_H-M_alt 'P 4/m m m'
_space_group_IT_number 123
_space_group_name_Hall '-P 4 2'
loop_
_atom_site_label
_atom_site_fract_x
_atom_site_fract_y
_atom_site_fract_z
Cd1 0.000 0.000 0.000
Ni1 0.500 0.500 0.500
Sb1 0.500 0.500 0.000
Te1 0.000 0.500 0.500
```

Results
Crystal system = tetragonal
Raw formation energy = 0.26 eV/atom
M_tot = 0.000 μB per formula unit

=====

ScCd2Ni after structural relaxation. Source: the Alexandria database, functional PBEsol.

Structure (CIF):
```
data_ScCd2Ni
_cell_length_a 3.558
_cell_length_b 3.300
_cell_length_c 12.611
_cell_angle_alpha 90.00
_cell_angle_beta 90.00
_cell_angle_gamma 90.00
_space_group_name_H-M_alt 'A m m 2'
_space_group_IT_number 38
loop_
_space_group_symop_operation_xyz
'x,y,z'
'-x,-y,z'
'-x,y,z'
'x,-y,z'
'x,y+1/2,z+1/2'
'-x,-y+1/2,z+1/2'
'-x,y+1/2,z+1/2'
'x,-y+1/2,z+1/2'
loop_
_atom_site_label
_atom_site_fract_x
_atom_site_fract_y
_atom_site_fract_z
Sc1 0.000 0.000 0.000
Cd1 0.000 0.000 0.718
Cd2 0.500 0.000 0.353
Ni1 0.500 0.000 0.567
```

Results
Crystal system = orthorhombic
ΔE_f = -0.22 eV/atom
M_tot = 0.000 μB per formula unit

=====

ScCdNi4 after structural relaxation. Source: the Alexandria database, functional PBEsol.

Structure (CIF):
```
data_ScCdNi4
_cell_length_a 6.779
_cell_length_b 6.779
_cell_length_c 6.779
_cell_angle_alpha 90.00
_cell_angle_beta 90.00
_cell_angle_gamma 90.00
_space_group_name_H-M_alt 'F -4 3 m'
_space_group_IT_number 216
_space_group_name_Hall 'F -4 2 3'
loop_
_atom_site_label
_atom_site_fract_x
_atom_site_fract_y
_atom_site_fract_z
Sc1 0.000 0.000 0.000
Cd1 0.250 0.250 0.250
Ni1 0.125 0.125 0.625
```

Results
Crystal system = cubic
ΔE_f = -0.39 eV/atom
M_tot = 0.001 μB per formula unit